The following is a DFT calculation (meta-GGA SCAN) of a PBEsol-optimized structure of YReBr2.

The structure belongs to space group P2/m (No. 10); the cell edges are 3.842, 4.321 and 5.097 Å and the angles 90.00°, 93.88° and 90.00°. The inequivalent atoms are Y at (0.000, 0.000, 0.000), Re at (0.500, 0.000, 0.500) and Br at (0.287, 0.500, 0.721).

The value obtained for the calculated density is 8554 kg/m3. As for the raw formation energy: 0.205 eV/atom. Its crystal system is monoclinic. For the energy relative to the lowest polymorph listed for this composition, the calculation gives 433 meV per atom.

The following is a DFT calculation (meta-GGA SCAN) of a PBEsol-optimized structure of YReBr2.

The structure belongs to space group C2/m (No. 12); the cell edges are 13.540, 3.377 and 4.623 Å and the angles 90.00°, 90.58° and 90.00°. The inequivalent atoms are Y at (0.000, 0.000, 0.000), Re at (0.000, 0.500, 0.500) and Br at (0.158, 0.500, 0.238).

The value obtained for the calculated density is 6833 kg/m3. As for the raw formation energy: -0.228 eV/atom. Its crystal system is monoclinic. For the energy relative to the lowest polymorph listed for this composition, the calculation gives 0 meV per atom.

The following is a DFT calculation (meta-GGA SCAN) of a PBEsol-optimized structure of Zn2ReBr.

The structure belongs to space group Cmmm (No. 65); the cell edges are 3.421, 4.770 and 8.108 Å and the angles 90.00°, 90.00° and 90.00°. The inequivalent atoms are Zn at (0.000, 0.000, 0.232), Re at (0.000, 0.500, 0.000) and Br at (0.000, 0.500, 0.500).

The value obtained for the calculated density is 9961 kg/m3. As for the raw formation energy: 0.514 eV/atom. Its crystal system is orthorhombic. For the energy relative to the lowest polymorph listed for this composition, the calculation gives 0 meV per atom.

The following is a DFT calculation (meta-GGA SCAN) of a PBEsol-optimized structure of Zn2ReBr.

The structure belongs to space group Immm (No. 71); the cell edges are 2.917, 4.559 and 9.592 Å and the angles 90.00°, 90.00° and 90.00°. The inequivalent atoms are Zn at (0.000, 0.000, 0.233), Re at (0.000, 0.500, 0.500) and Br at (0.000, 0.500, 0.000).

The value obtained for the calculated density is 10334 kg/m3. As for the raw formation energy: 0.876 eV/atom. Its crystal system is orthorhombic. For the energy relative to the lowest polymorph listed for this composition, the calculation gives 362 meV per atom.

The following is a DFT calculation (meta-GGA SCAN) of a PBEsol-optimized structure of Zn2ReBr.

The structure belongs to space group Cmm2 (No. 35); the cell edges are 2.819, 5.149 and 9.679 Å and the angles 90.00°, 90.00° and 90.00°. The inequivalent atoms are Zn at (0.000, 0.000, 0.000), Zn at (0.000, 0.500, 0.228), Re at (0.000, 0.500, 0.773) and Br at (0.000, 0.000, 0.558).

The value obtained for the calculated density is 9384 kg/m3. As for the raw formation energy: 0.680 eV/atom. Its crystal system is orthorhombic. For the energy relative to the lowest polymorph listed for this composition, the calculation gives 166 meV per atom.

The following is a DFT calculation (meta-GGA SCAN) of a PBEsol-optimized structure of Zn2ReBr.

The structure belongs to space group C2/m (No. 12); the cell edges are 9.887, 2.898 and 4.591 Å and the angles 90.00°, 104.26° and 90.00°. The inequivalent atoms are Zn at (0.233, 0.000, 0.219), Re at (0.000, 0.500, 0.000) and Br at (0.000, 0.000, 0.500).

The value obtained for the calculated density is 10338 kg/m3. As for the raw formation energy: 0.874 eV/atom. Its crystal system is monoclinic. For the energy relative to the lowest polymorph listed for this composition, the calculation gives 360 meV per atom.

The following is a DFT calculation (meta-GGA SCAN) of a PBEsol-optimized structure of RhBr.

The structure belongs to space group Cm (No. 8); the cell edges are 12.274, 3.270 and 6.168 Å and the angles 90.00°, 115.08° and 90.00°. The inequivalent atoms are Rh at (0.000, 0.000, 0.000), Rh at (0.029, 0.500, 0.351), Rh at (0.194, 0.000, 0.379), Br at (0.089, 0.500, 0.784), Br at (0.323, 0.000, 0.805) and Br at (0.338, 0.500, 0.308).

The value obtained for the calculated density is 8123 kg/m3. As for the raw formation energy: 0.205 eV/atom. Its crystal system is monoclinic.

The following is a DFT calculation (meta-GGA SCAN) of a PBEsol-optimized structure of RhBr.

The structure belongs to space group Cmmm (No. 65); the cell edges are 3.014, 5.643 and 4.147 Å and the angles 90.00°, 90.00° and 90.00°. The inequivalent atoms are Rh at (0.000, 0.000, 0.000) and Br at (0.000, 0.500, 0.500).

The value obtained for the calculated density is 8610 kg/m3. As for the raw formation energy: 0.653 eV/atom. Its crystal system is orthorhombic.

The following is a DFT calculation (meta-GGA SCAN) of a PBEsol-optimized structure of RhBr5.

The structure belongs to space group Cm (No. 8); the cell edges are 12.953, 3.615 and 8.585 Å and the angles 90.00°, 120.84° and 90.00°. The inequivalent atoms are Rh at (0.000, 0.000, 0.000), Br at (0.004, 0.000, 0.500), Br at (0.123, 0.500, 0.999), Br at (0.171, 0.500, 0.501), Br at (0.337, 0.000, 0.498) and Br at (0.377, 0.000, 0.001).

The value obtained for the calculated density is 4835 kg/m3. As for the raw formation energy: 0.095 eV/atom. Its crystal system is monoclinic.

The following is a DFT calculation (meta-GGA SCAN) of a PBEsol-optimized structure of RhBr.

The structure belongs to space group Cm (No. 8); the cell edges are 12.543, 3.662 and 5.905 Å and the angles 90.00°, 109.95° and 90.00°. The inequivalent atoms are Rh at (0.000, 0.000, 0.000), Rh at (0.024, 0.500, 0.698), Rh at (0.358, 0.000, 0.850), Br at (0.147, 0.500, 0.130), Br at (0.227, 0.500, 0.671) and Br at (0.452, 0.500, 0.388).

The value obtained for the calculated density is 7143 kg/m3. As for the raw formation energy: 0.145 eV/atom. Its crystal system is monoclinic.

The following is a DFT calculation (meta-GGA SCAN) of a PBEsol-optimized structure of RuRh2Br.

The structure belongs to space group Cmmm (No. 65); the cell edges are 5.384, 7.681 and 2.813 Å and the angles 90.00°, 90.00° and 90.00°. The inequivalent atoms are Ru at (0.000, 0.000, 0.000), Rh at (0.250, 0.250, 0.500) and Br at (0.000, 0.500, 0.000).

The value obtained for the calculated density is 11043 kg/m3. As for the raw formation energy: 0.822 eV/atom. Its crystal system is orthorhombic. For the energy relative to the lowest polymorph listed for this composition, the calculation gives 381 meV per atom.

The following is a DFT calculation (meta-GGA SCAN) of a PBEsol-optimized structure of RuRh2Br.

The structure belongs to space group I4/mmm (No. 139); the cell edges are 3.951, 3.951 and 7.497 Å and the angles 90.00°, 90.00° and 90.00°. The inequivalent atoms are Ru at (0.000, 0.000, 0.000), Rh at (0.000, 0.500, 0.250) and Br at (0.000, 0.000, 0.500).

The value obtained for the calculated density is 10976 kg/m3. As for the raw formation energy: 0.897 eV/atom. Its crystal system is tetragonal. For the energy relative to the lowest polymorph listed for this composition, the calculation gives 456 meV per atom.

The following is a DFT calculation (meta-GGA SCAN) of a PBEsol-optimized structure of RuRh2Br.

The structure belongs to space group P4/mmm (No. 123); the cell edges are 3.814, 3.814 and 4.001 Å and the angles 90.00°, 90.00° and 90.00°. The inequivalent atoms are Ru at (0.000, 0.000, 0.000), Rh at (0.000, 0.500, 0.500) and Br at (0.500, 0.500, 0.000).

The value obtained for the calculated density is 11033 kg/m3. As for the raw formation energy: 0.996 eV/atom. Its crystal system is tetragonal. For the energy relative to the lowest polymorph listed for this composition, the calculation gives 555 meV per atom.

The following is a DFT calculation (meta-GGA SCAN) of a PBEsol-optimized structure of Ru2RhBr.

The structure belongs to space group Cmmm (No. 65); the cell edges are 2.751, 4.811 and 9.052 Å and the angles 90.00°, 90.00° and 90.00°. The inequivalent atoms are Ru at (0.000, 0.000, 0.243), Rh at (0.000, 0.500, 0.000) and Br at (0.000, 0.500, 0.500).

The value obtained for the calculated density is 10670 kg/m3. As for the raw formation energy: 0.955 eV/atom. Its crystal system is orthorhombic.

The following is a DFT calculation (meta-GGA SCAN) of a PBEsol-optimized structure of RuRhBr2.

The structure belongs to space group F-43m (No. 216); the cell edges are 6.478, 6.478 and 6.478 Å and the angles 90.00°, 90.00° and 90.00°. The inequivalent atoms are Ru at (0.000, 0.000, 0.000), Rh at (0.250, 0.250, 0.250), Br at (0.000, 0.000, 0.500) and Br at (0.250, 0.250, 0.750).

The value obtained for the calculated density is 8888 kg/m3. As for the raw formation energy: 1.168 eV/atom. Its crystal system is cubic. For the energy relative to the lowest polymorph listed for this composition, the calculation gives 792 meV per atom.